[1]
# HfCrI2

A relaxed structure of HfCrI2 (PBE, Alexandria).

Summary:
Fermi-level density of states in states/eV/cell: 10.872
Energy relative to the elements, uncorrected in eV/atom: 0.442
Polymorph energy (0 for the lowest one) in eV/atom: 0.000

Geometry as CIF:
```
data_HfCrI2
_chemical_formula_sum 'Hf4 Cr4 I8'
_cell_length_a 7.1426
_cell_length_b 7.1426
_cell_length_c 7.1426
_cell_angle_alpha 90.00
_cell_angle_beta 90.00
_cell_angle_gamma 90.00
_space_group_name_H-M_alt 'F m -3 m'
_space_group_IT_number 225
_space_group_name_Hall '-F 4 2 3'
loop_
_atom_site_label
_atom_site_type_symbol
_atom_site_fract_x
_atom_site_fract_y
_atom_site_fract_z
Hf1 Hf 0.0000 0.0000 0.0000
Cr1 Cr 0.0000 0.0000 0.5000
I1 I 0.2500 0.2500 0.2500
```


[2]
# Hf2CrI

A relaxed structure of Hf2CrI (PBE, Alexandria).

Summary:
Fermi-level density of states in states/eV/cell: 26.223
Energy relative to the elements, uncorrected in eV/atom: 1.064
Polymorph energy (0 for the lowest one) in eV/atom: 0.400

Geometry as CIF:
```
data_Hf2CrI
_chemical_formula_sum 'Hf8 Cr4 I4'
_cell_length_a 6.0473
_cell_length_b 6.0473
_cell_length_c 12.4489
_cell_angle_alpha 90.00
_cell_angle_beta 90.00
_cell_angle_gamma 90.00
_space_group_name_H-M_alt 'I -4 2 d'
_space_group_IT_number 122
_space_group_name_Hall 'I -4 2bw'
loop_
_atom_site_label
_atom_site_type_symbol
_atom_site_fract_x
_atom_site_fract_y
_atom_site_fract_z
Hf1 Hf 0.1459 0.2500 0.1250
Cr1 Cr 0.0000 0.0000 0.0000
I1 I 0.0000 0.0000 0.5000
```


[3]
# HfCr3I

A relaxed structure of HfCr3I (PBE, Alexandria).

Summary:
Fermi-level density of states in states/eV/cell: 3.023
Energy relative to the elements, uncorrected in eV/atom: 1.641
Polymorph energy (0 for the lowest one) in eV/atom: 0.000

Geometry as CIF:
```
data_HfCr3I
_chemical_formula_sum 'Hf1 Cr3 I1'
_cell_length_a 4.6146
_cell_length_b 4.6146
_cell_length_c 4.6146
_cell_angle_alpha 90.00
_cell_angle_beta 90.00
_cell_angle_gamma 90.00
_space_group_name_H-M_alt 'P m -3 m'
_space_group_IT_number 221
_space_group_name_Hall '-P 4 2 3'
loop_
_atom_site_label
_atom_site_type_symbol
_atom_site_fract_x
_atom_site_fract_y
_atom_site_fract_z
Hf1 Hf 0.0000 0.0000 0.0000
Cr1 Cr 0.0000 0.5000 0.5000
I1 I 0.5000 0.5000 0.5000
```


[4]
# HfCrI2

A relaxed structure of HfCrI2 (PBE, Alexandria).

Summary:
Fermi-level density of states in states/eV/cell: 22.680
Energy relative to the elements, uncorrected in eV/atom: 1.036
Polymorph energy (0 for the lowest one) in eV/atom: 0.594

Geometry as CIF:
```
data_HfCrI2
_chemical_formula_sum 'Hf4 Cr4 I8'
_cell_length_a 6.3567
_cell_length_b 6.3567
_cell_length_c 11.3189
_cell_angle_alpha 90.00
_cell_angle_beta 90.00
_cell_angle_gamma 90.00
_space_group_name_H-M_alt 'I -4 2 d'
_space_group_IT_number 122
_space_group_name_Hall 'I -4 2bw'
loop_
_atom_site_label
_atom_site_type_symbol
_atom_site_fract_x
_atom_site_fract_y
_atom_site_fract_z
Hf1 Hf 0.0000 0.0000 0.0000
Cr1 Cr 0.0000 0.0000 0.5000
I1 I 0.2105 0.2500 0.6250
```


[5]
# HfCr3I

A relaxed structure of HfCr3I (PBE, Alexandria).

Summary:
Fermi-level density of states in states/eV/cell: 4.007
Energy relative to the elements, uncorrected in eV/atom: 1.663
Polymorph energy (0 for the lowest one) in eV/atom: 0.022

Geometry as CIF:
```
data_HfCr3I
_chemical_formula_sum 'Hf1 Cr3 I1'
_cell_length_a 4.9870
_cell_length_b 4.9870
_cell_length_c 4.9870
_cell_angle_alpha 90.00
_cell_angle_beta 90.00
_cell_angle_gamma 90.00
_space_group_name_H-M_alt 'P m -3 m'
_space_group_IT_number 221
_space_group_name_Hall '-P 4 2 3'
loop_
_atom_site_label
_atom_site_type_symbol
_atom_site_fract_x
_atom_site_fract_y
_atom_site_fract_z
Hf1 Hf 0.0000 0.0000 0.0000
Cr1 Cr 0.0000 0.0000 0.5000
I1 I 0.5000 0.5000 0.5000
```


[6]
# HfCrI

A relaxed structure of HfCrI (PBE, Alexandria).

Summary:
Fermi-level density of states in states/eV/cell: 1.480
Energy relative to the elements, uncorrected in eV/atom: 0.068

Geometry as CIF:
```
data_HfCrI
_chemical_formula_sum 'Hf2 Cr2 I2'
_cell_length_a 3.7773
_cell_length_b 3.7777
_cell_length_c 11.2278
_cell_angle_alpha 90.46
_cell_angle_beta 90.01
_cell_angle_gamma 90.01
_space_group_name_H-M_alt 'P -1'
_space_group_IT_number 2
_space_group_name_Hall '-P 1'
loop_
_atom_site_label
_atom_site_type_symbol
_atom_site_fract_x
_atom_site_fract_y
_atom_site_fract_z
Hf1 Hf 0.2500 0.2483 0.4358
Cr1 Cr 0.2502 0.2545 0.6816
I1 I 0.2517 0.2392 0.1721
```


[7]
# Hf2CrI

A relaxed structure of Hf2CrI (PBE, Alexandria).

Summary:
Fermi-level density of states in states/eV/cell: 26.904
Energy relative to the elements, uncorrected in eV/atom: 0.663
Polymorph energy (0 for the lowest one) in eV/atom: 0.000

Geometry as CIF:
```
data_Hf2CrI
_chemical_formula_sum 'Hf8 Cr4 I4'
_cell_length_a 6.8441
_cell_length_b 6.8441
_cell_length_c 6.8441
_cell_angle_alpha 90.00
_cell_angle_beta 90.00
_cell_angle_gamma 90.00
_space_group_name_H-M_alt 'F m -3 m'
_space_group_IT_number 225
_space_group_name_Hall '-F 4 2 3'
loop_
_atom_site_label
_atom_site_type_symbol
_atom_site_fract_x
_atom_site_fract_y
_atom_site_fract_z
Hf1 Hf 0.2500 0.2500 0.2500
Cr1 Cr 0.0000 0.0000 0.0000
I1 I 0.0000 0.0000 0.5000
```


[8]
# K2HfCrI

A relaxed structure of K2HfCrI (PBE, Alexandria).

Summary:
Fermi-level density of states in states/eV/cell: 4.237
Energy relative to the elements, uncorrected in eV/atom: 1.135

Geometry as CIF:
```
data_K2HfCrI
_chemical_formula_sum 'K2 Hf1 Cr1 I1'
_cell_length_a 7.2717
_cell_length_b 7.2717
_cell_length_c 5.5164
_cell_angle_alpha 90.00
_cell_angle_beta 90.00
_cell_angle_gamma 90.00
_space_group_name_H-M_alt 'P 4/m m m'
_space_group_IT_number 123
_space_group_name_Hall '-P 4 2'
loop_
_atom_site_label
_atom_site_type_symbol
_atom_site_fract_x
_atom_site_fract_y
_atom_site_fract_z
K1 K 0.0000 0.5000 0.0000
Hf1 Hf 0.0000 0.0000 0.0000
Cr1 Cr 0.5000 0.5000 0.5000
I1 I 0.0000 0.0000 0.5000
```


[9]
# LaHfCr2I

A relaxed structure of LaHfCr2I (PBE, Alexandria).

Summary:
Fermi-level density of states in states/eV/cell: 7.481
Energy relative to the elements, uncorrected in eV/atom: 1.647

Geometry as CIF:
```
data_LaHfCr2I
_chemical_formula_sum 'La1 Hf1 Cr2 I1'
_cell_length_a 4.7862
_cell_length_b 4.7862
_cell_length_c 5.8767
_cell_angle_alpha 90.00
_cell_angle_beta 90.00
_cell_angle_gamma 90.00
_space_group_name_H-M_alt 'P 4/m m m'
_space_group_IT_number 123
_space_group_name_Hall '-P 4 2'
loop_
_atom_site_label
_atom_site_type_symbol
_atom_site_fract_x
_atom_site_fract_y
_atom_site_fract_z
La1 La 0.0000 0.0000 0.0000
Hf1 Hf 0.5000 0.5000 0.5000
Cr1 Cr 0.0000 0.5000 0.0000
I1 I 0.0000 0.0000 0.5000
```


[10]
# HfCr2MoI

A relaxed structure of HfCr2MoI (PBE, Alexandria).

Summary:
Fermi-level density of states in states/eV/cell: 8.931
Energy relative to the elements, uncorrected in eV/atom: 2.061

Geometry as CIF:
```
data_HfCr2MoI
_chemical_formula_sum 'Hf1 Cr2 Mo1 I1'
_cell_length_a 4.5306
_cell_length_b 4.5306
_cell_length_c 5.1561
_cell_angle_alpha 90.00
_cell_angle_beta 90.00
_cell_angle_gamma 90.00
_space_group_name_H-M_alt 'P 4/m m m'
_space_group_IT_number 123
_space_group_name_Hall '-P 4 2'
loop_
_atom_site_label
_atom_site_type_symbol
_atom_site_fract_x
_atom_site_fract_y
_atom_site_fract_z
Hf1 Hf 0.0000 0.0000 0.0000
Cr1 Cr 0.0000 0.5000 0.5000
Mo1 Mo 0.5000 0.5000 0.0000
I1 I 0.0000 0.0000 0.5000
```


[11]
# HfCrI2N

A relaxed structure of HfCrI2N (PBE, Alexandria).

Summary:
Fermi-level density of states in states/eV/cell: 0.754
Energy relative to the elements, uncorrected in eV/atom: 0.142
Polymorph energy (0 for the lowest one) in eV/atom: 0.000

Geometry as CIF:
```
data_HfCrI2N
_chemical_formula_sum 'Hf1 Cr1 I2 N1'
_cell_length_a 5.8967
_cell_length_b 5.8967
_cell_length_c 3.9798
_cell_angle_alpha 90.00
_cell_angle_beta 90.00
_cell_angle_gamma 90.00
_space_group_name_H-M_alt 'P 4/m m m'
_space_group_IT_number 123
_space_group_name_Hall '-P 4 2'
loop_
_atom_site_label
_atom_site_type_symbol
_atom_site_fract_x
_atom_site_fract_y
_atom_site_fract_z
Hf1 Hf 0.0000 0.0000 0.0000
Cr1 Cr 0.5000 0.5000 0.5000
I1 I 0.0000 0.5000 0.0000
N1 N 0.0000 0.0000 0.5000
```


[12]
# HfCrI2N

A relaxed structure of HfCrI2N (PBE, Alexandria).

Summary:
Fermi-level density of states in states/eV/cell: 6.843
Energy relative to the elements, uncorrected in eV/atom: 0.508
Polymorph energy (0 for the lowest one) in eV/atom: 0.366

Geometry as CIF:
```
data_HfCrI2N
_chemical_formula_sum 'Hf1 Cr1 I2 N1'
_cell_length_a 5.4287
_cell_length_b 5.4287
_cell_length_c 3.5571
_cell_angle_alpha 90.00
_cell_angle_beta 90.00
_cell_angle_gamma 90.00
_space_group_name_H-M_alt 'P 4/m m m'
_space_group_IT_number 123
_space_group_name_Hall '-P 4 2'
loop_
_atom_site_label
_atom_site_type_symbol
_atom_site_fract_x
_atom_site_fract_y
_atom_site_fract_z
Hf1 Hf 0.0000 0.0000 0.0000
Cr1 Cr 0.5000 0.5000 0.5000
I1 I 0.0000 0.5000 0.5000
N1 N 0.5000 0.5000 0.0000
```


Question: Which value of Fermi-level density of states does entry 1 give?
Answer: 10.872 states/eV/cell


Question: energy relative to the elements, uncorrected of number 4 (HfCrI2)?
Answer: 1.036 eV/atom


Question: The lowest energy relative to the elements, uncorrected belongs to which entry?
Answer: HfCrI